[1]
TlPb2Br | GGA-PBE | relaxed

```
TlPb2Br
1.0
-2.202 1.805 5.068
-4.844 -3.045 -1.024
1.453 -2.866 1.652
Pb Tl Br
2 1 1
Cartesian
0.000 0.000 0.000 Pb
-3.523 -0.620 2.022 Pb
-0.375 -0.531 3.360 Tl
-1.696 -2.956 0.314 Br
```

Formation energy from raw total energies, eV per formula unit: -0.6
Polymorph energy (0 for the lowest one), meV per atom: 86
Crystal system: tetragonal
Calculated density, g cm⁻³: 9.50

***

[2]
TlPbBr | GGA-PBE | relaxed

```
TlPbBr
1.0
-5.613 1.291 1.365
-1.673 -0.502 5.717
-0.426 6.631 3.166
Pb Tl Br
2 2 2
Cartesian
-6.597 5.784 8.418 Pb
-1.748 5.493 3.805 Pb
-4.183 5.647 6.095 Tl
-4.844 2.711 3.620 Tl
-1.614 2.572 4.490 Br
-4.513 1.248 6.635 Br
```

Formation energy from raw total energies, eV per formula unit: -1.0
Polymorph energy (0 for the lowest one), meV per atom: 74
Crystal system: triclinic
Calculated density, g cm⁻³: 7.77

***

[3]
TlPbBr2 | GGA-PBE | relaxed

```
TlPbBr2
1.0
-2.513 -2.362 -1.854
-1.223 -1.403 3.445
-6.011 6.117 0.358
Pb Tl Br
1 1 2
Cartesian
-2.969 3.021 0.177 Pb
-6.438 2.767 1.067 Tl
-5.634 5.733 0.335 Br
-3.723 0.005 0.906 Br
```

Formation energy from raw total energies, eV per formula unit: -1.8
Polymorph energy (0 for the lowest one), meV per atom: 200
Crystal system: tetragonal
Calculated density, g cm⁻³: 7.21

***

[4]
TlPbBr2 | GGA-PBE | relaxed

```
TlPbBr2
1.0
0.000 3.941 3.941
3.941 0.000 3.941
3.941 3.941 0.000
Pb Tl Br
1 1 2
Cartesian
3.941 3.941 3.941 Pb
0.000 0.000 0.000 Tl
1.970 1.970 1.970 Br
5.911 5.911 5.911 Br
```

Formation energy from raw total energies, eV per formula unit: -2.0
Polymorph energy (0 for the lowest one), meV per atom: 144
Crystal system: cubic
Calculated density, g cm⁻³: 7.75

***

[5]
TlPb2Br | GGA-PBE | relaxed

```
TlPb2Br
1.0
3.631 0.000 0.000
0.000 5.940 0.000
0.000 0.000 5.776
Pb Tl Br
2 1 1
Cartesian
0.000 0.000 0.000 Pb
1.815 2.970 0.000 Pb
1.815 0.000 2.888 Tl
0.000 2.970 2.888 Br
```

Formation energy from raw total energies, eV per formula unit: -0.8
Polymorph energy (0 for the lowest one), meV per atom: 29
Crystal system: orthorhombic
Calculated density, g cm⁻³: 9.31

***

[6]
TlPbBr | GGA-PBE | relaxed

```
TlPbBr
1.0
-1.738 -0.415 5.019
-1.363 -3.550 -0.765
10.698 -3.951 -0.729
Pb Tl Br
2 2 2
Cartesian
5.482 -2.875 3.571 Pb
-0.548 -2.674 3.553 Pb
0.787 -0.595 1.358 Tl
5.455 -4.346 0.611 Tl
2.679 -1.841 3.766 Br
7.347 -5.591 3.019 Br
```

Formation energy from raw total energies, eV per formula unit: -0.9
Polymorph energy (0 for the lowest one), meV per atom: 110
Crystal system: monoclinic
Calculated density, g cm⁻³: 7.35

***

[7]
TlPb2Br | GGA-PBE | relaxed

```
TlPb2Br
1.0
0.000 3.923 3.923
3.923 0.000 3.923
3.923 3.923 0.000
Pb Tl Br
2 1 1
Cartesian
1.962 1.962 1.962 Pb
5.885 5.885 5.885 Pb
3.923 3.923 3.923 Tl
0.000 0.000 0.000 Br
```

Formation energy from raw total energies, eV per formula unit: -0.2
Polymorph energy (0 for the lowest one), meV per atom: 180
Crystal system: cubic
Calculated density, g cm⁻³: 9.61

***

[8]
TlPbBr2 | GGA-PBE | relaxed

```
TlPbBr2
1.0
8.046 -0.068 -0.170
-3.969 4.975 0.100
0.108 1.365 3.425
Pb Tl Br
1 1 2
Cartesian
-1.930 3.170 1.763 Pb
2.038 2.454 -0.035 Tl
0.000 0.000 0.000 Br
4.077 0.649 1.628 Br
```

Formation energy from raw total energies, eV per formula unit: -2.2
Polymorph energy (0 for the lowest one), meV per atom: 90
Crystal system: monoclinic
Calculated density, g cm⁻³: 6.97

***

Number 1: volume 30.523 Å³/atom. Number 2: volume 34.996 Å³/atom. Number 3: volume 32.900 Å³/atom. Number 4: volume 30.599 Å³/atom. Number 5: volume 31.141 Å³/atom. Number 6: volume 37.033 Å³/atom. Number 7: volume 30.189 Å³/atom. Number 8: volume 34.026 Å³/atom.